No. 1
An optimized crystal structure of PmTh2Sc2, computed with GGA-PBE.

abc: 4.889 9.804 12.555
angles: 90.00 78.79 90.00
Positions (direct):
1 Th 0.952 0.121 0.096
2 Th 0.252 0.875 0.497
3 Th 0.752 0.625 0.497
4 Th 0.548 0.621 0.904
5 Th 0.748 0.125 0.503
6 Th 0.048 0.879 0.904
7 Th 0.248 0.375 0.503
8 Th 0.452 0.379 0.096
9 Sc 0.546 0.130 0.907
10 Sc 0.352 0.636 0.296
11 Sc 0.852 0.864 0.296
12 Sc 0.148 0.136 0.704
13 Sc 0.954 0.630 0.093
14 Sc 0.648 0.364 0.704
15 Sc 0.046 0.370 0.907
16 Sc 0.454 0.870 0.093
17 Pm 0.851 0.384 0.298
18 Pm 0.351 0.116 0.298
19 Pm 0.149 0.616 0.702
20 Pm 0.649 0.884 0.702

Results
Energy relative to the elements ... 0.07 eV per atom

No. 2
An optimized crystal structure of ReSbP2, computed with GGA-PBE.

abc: 3.106 3.106 7.570
angles: 90.00 90.00 90.00
Positions (direct):
1 Re 0.000 0.000 0.437
2 Sb 0.500 0.500 0.690
3 P 0.500 0.500 0.267
4 P 0.000 0.000 0.106

Results
E_form (uncorrected) ... 0.200 eV/atom

No. 3
An optimized crystal structure of Li2HfW, computed with GGA-PBE.

abc: 4.427 4.427 4.427
angles: 60.00 60.00 60.00
Positions (direct):
1 Li 0.250 0.250 0.250
2 Li 0.750 0.750 0.750
3 W 0.500 0.500 0.500
4 Hf 0.000 0.000 0.000

Results
Energy relative to the elements ... 0.68 eV per atom
Distance to the lowest polymorph of the same formula ... 0 meV per atom

No. 4
An optimized crystal structure of KNbRh3, computed with GGA-PBE.

abc: 4.848 4.848 4.848
angles: 90.00 90.00 90.00
Positions (direct):
1 Rh 0.000 0.500 0.000
2 Rh 0.500 0.000 0.000
3 Rh 0.000 0.000 0.500
4 Nb 0.000 0.000 0.000
5 K 0.500 0.500 0.500

Results
Energy relative to the elements ... 0.67 eV per atom
Distance to the lowest polymorph of the same formula ... 0 meV per atom

No. 5
An optimized crystal structure of Na3TeBr7, computed with GGA-PBE.

abc: 8.154 8.154 7.373
angles: 73.38 73.38 69.41
Positions (direct):
1 Br 0.949 0.360 0.729
2 Br 0.902 0.902 0.740
3 Br 0.120 0.690 0.194
4 Br 0.456 0.456 0.600
5 Br 0.690 0.120 0.194
6 Br 0.360 0.949 0.729
7 Br 0.158 0.158 0.192
8 Na 0.799 0.257 0.461
9 Na 0.257 0.799 0.461
10 Na 0.402 0.402 0.000
11 Te 0.032 0.032 0.950

Results
E_form (uncorrected) ... -0.978 eV/atom

No. 6
An optimized crystal structure of Ga3RuBr, computed with GGA-PBE.

abc: 5.251 5.251 5.251
angles: 90.00 90.00 90.00
Positions (direct):
1 Ga 0.500 0.000 0.000
2 Ga 0.000 0.500 0.000
3 Ga 0.000 0.000 0.500
4 Br 0.000 0.000 0.000
5 Ru 0.500 0.500 0.500

Results
E_form (uncorrected) ... 1.252 eV/atom
Distance to the lowest polymorph of the same formula ... 1469 meV per atom